No. 1
# LaSm2ThBi5, relaxed, DFT PBE-GGA
data_LaSm2ThBi5
_chemical_formula_sum 'La1 Sm2 Th1 Bi5'
_space_group_name_H-M_alt 'P 1'
_space_group_IT_number 1
_space_group_name_Hall 'P 1'
_cell_length_a 5.720
_cell_length_b 5.720
_cell_length_c 12.194
_cell_angle_alpha 90.00
_cell_angle_beta 90.00
_cell_angle_gamma 90.00
loop_
_atom_site_label
_atom_site_type_symbol
_atom_site_fract_x
_atom_site_fract_y
_atom_site_fract_z
La1 La 0.000 0.000 0.000
Sm1 Sm 0.500 0.500 0.269
Sm2 Sm 0.500 0.500 0.731
Th1 Th 0.000 0.000 0.500
Bi1 Bi 0.000 0.000 0.247
Bi2 Bi 0.000 0.000 0.753
Bi3 Bi 0.000 0.500 0.500
Bi4 Bi 0.500 0.000 0.500
Bi5 Bi 0.500 0.500 0.000
# Energy of formation from the pure elements in kJ/mol of formula units: 37
# Space group: P4/mmm


No. 2
# BiPd6Au5, relaxed, DFT PBE-GGA
data_BiPd6Au5
_chemical_formula_sum 'Bi1 Pd6 Au5'
_space_group_name_H-M_alt 'P 1'
_space_group_IT_number 1
_space_group_name_Hall 'P 1'
_cell_length_a 7.712
_cell_length_b 7.712
_cell_length_c 4.294
_cell_angle_alpha 106.11
_cell_angle_beta 106.11
_cell_angle_gamma 111.32
loop_
_atom_site_label
_atom_site_type_symbol
_atom_site_fract_x
_atom_site_fract_y
_atom_site_fract_z
Bi1 Bi 0.000 0.000 0.000
Pd1 Pd 0.081 0.411 0.246
Pd2 Pd 0.246 0.246 0.746
Pd3 Pd 0.411 0.081 0.246
Pd4 Pd 0.589 0.919 0.754
Pd5 Pd 0.754 0.754 0.254
Pd6 Pd 0.919 0.589 0.754
Au1 Au 0.177 0.823 0.500
Au2 Au 0.336 0.664 0.000
Au3 Au 0.500 0.500 0.500
Au4 Au 0.664 0.336 0.000
Au5 Au 0.823 0.177 0.500
# Energy of formation from the pure elements in kJ/mol of formula units: -168
# Space group: C2/m


No. 3
# NbInO2, relaxed, DFT PBE-GGA
data_NbInO2
_chemical_formula_sum 'Nb1 In1 O2'
_space_group_name_H-M_alt 'P 1'
_space_group_IT_number 1
_space_group_name_Hall 'P 1'
_cell_length_a 7.520
_cell_length_b 7.520
_cell_length_c 7.520
_cell_angle_alpha 23.02
_cell_angle_beta 23.02
_cell_angle_gamma 23.02
loop_
_atom_site_label
_atom_site_type_symbol
_atom_site_fract_x
_atom_site_fract_y
_atom_site_fract_z
Nb1 Nb 0.000 0.000 0.000
In1 In 0.500 0.500 0.500
O1 O 0.391 0.391 0.391
O2 O 0.609 0.609 0.609
# E_form (uncorrected) in meV per atom: -1617
# Space group: R-3m


No. 4
# Cr2RuCl, relaxed, DFT PBE-GGA
data_Cr2RuCl
_chemical_formula_sum 'Cr2 Ru1 Cl1'
_space_group_name_H-M_alt 'P 1'
_space_group_IT_number 1
_space_group_name_Hall 'P 1'
_cell_length_a 5.598
_cell_length_b 5.598
_cell_length_c 5.598
_cell_angle_alpha 143.40
_cell_angle_beta 143.40
_cell_angle_gamma 52.72
loop_
_atom_site_label
_atom_site_type_symbol
_atom_site_fract_x
_atom_site_fract_y
_atom_site_fract_z
Cr1 Cr 0.000 0.000 0.000
Cr2 Cr 0.750 0.250 0.500
Ru1 Ru 0.250 0.750 0.500
Cl1 Cl 0.500 0.500 0.000
# E_form (uncorrected) in meV per atom: 715
# E above lowest polymorph in eV/atom: 0.517
# Space group: I-4m2


No. 5
# BaNaHoBr6, relaxed, DFT PBE-GGA
data_BaNaHoBr6
_chemical_formula_sum 'Ba2 Na2 Ho2 Br12'
_space_group_name_H-M_alt 'P 1'
_space_group_IT_number 1
_space_group_name_Hall 'P 1'
_cell_length_a 7.510
_cell_length_b 7.510
_cell_length_c 13.837
_cell_angle_alpha 90.00
_cell_angle_beta 90.00
_cell_angle_gamma 120.00
loop_
_atom_site_label
_atom_site_type_symbol
_atom_site_fract_x
_atom_site_fract_y
_atom_site_fract_z
Ba1 Ba 0.000 0.000 0.000
Ba2 Ba 0.000 0.000 0.500
Na1 Na 0.333 0.667 0.250
Na2 Na 0.667 0.333 0.750
Ho1 Ho 0.333 0.667 0.750
Ho2 Ho 0.667 0.333 0.250
Br1 Br 0.020 0.369 0.634
Br2 Br 0.020 0.650 0.866
Br3 Br 0.350 0.369 0.866
Br4 Br 0.350 0.980 0.634
Br5 Br 0.369 0.020 0.134
Br6 Br 0.369 0.350 0.366
Br7 Br 0.631 0.650 0.634
Br8 Br 0.631 0.980 0.866
Br9 Br 0.650 0.020 0.366
Br10 Br 0.650 0.631 0.134
Br11 Br 0.980 0.350 0.134
Br12 Br 0.980 0.631 0.366
# E_form (uncorrected) in meV per atom: -1902
# Space group: P-31c


No. 6
# NpReTcW, relaxed, DFT PBE-GGA
data_NpReTcW
_chemical_formula_sum 'Np1 Re1 Tc1 W1'
_space_group_name_H-M_alt 'P 1'
_space_group_IT_number 1
_space_group_name_Hall 'P 1'
_cell_length_a 4.596
_cell_length_b 4.596
_cell_length_c 4.596
_cell_angle_alpha 60.00
_cell_angle_beta 60.00
_cell_angle_gamma 60.00
loop_
_atom_site_label
_atom_site_type_symbol
_atom_site_fract_x
_atom_site_fract_y
_atom_site_fract_z
Np1 Np 0.000 0.000 0.000
Re1 Re 0.250 0.250 0.250
Tc1 Tc 0.750 0.750 0.750
W1 W 0.500 0.500 0.500
# Energy of formation from the pure elements in kJ/mol of formula units: 93
# Space group: F-43m


Repeat the third record exactly.
# NbInO2, relaxed, DFT PBE-GGA
data_NbInO2
_chemical_formula_sum 'Nb1 In1 O2'
_space_group_name_H-M_alt 'P 1'
_space_group_IT_number 1
_space_group_name_Hall 'P 1'
_cell_length_a 7.520
_cell_length_b 7.520
_cell_length_c 7.520
_cell_angle_alpha 23.02
_cell_angle_beta 23.02
_cell_angle_gamma 23.02
loop_
_atom_site_label
_atom_site_type_symbol
_atom_site_fract_x
_atom_site_fract_y
_atom_site_fract_z
Nb1 Nb 0.000 0.000 0.000
In1 In 0.500 0.500 0.500
O1 O 0.391 0.391 0.391
O2 O 0.609 0.609 0.609
# E_form (uncorrected) in meV per atom: -1617
# Space group: R-3m